VASP calculation (PBE-GGA) on crystalline RbTl2PtAu at its relaxed geometry.

Calculated values
The calculation puts the density at 8.2 g cm⁻³. Its density of states at the Fermi level is 0.26 states/eV/atom. The calculation puts the total energy at -3.00 eV/atom. Its energy of formation from the pure elements is 0 meV/atom. Its energy above the most stable polymorph in this dataset is 0.600 eV per formula unit.

a = 5.297 Å, b = 5.297 Å, c = 6.398 Å
α = 90.00°, β = 90.00°, γ = 90.00°
Space group P4/mmm (No. 123)
Asymmetric unit:
Rb (0.000, 0.000, 0.000) (multiplicity 1)
Tl (0.000, 0.500, 0.500) (multiplicity 2)
Pt (0.000, 0.000, 0.500) (multiplicity 1)
Au (0.500, 0.500, 0.000) (multiplicity 1)